[1]
## KRe2Sb (PBE)

Data for an optimized crystal structure of KRe2Sb.

Summary:
Total moment ... 0.0 μB/f.u.
Energy relative to the elements, uncorrected ... 518 kJ/mol of formula units
E_tot ... -6.19 eV per atom

Lattice parameters (Å, degrees): 3.1458 4.6354 11.0538 90.00 90.00 90.00
Element x y z (fractional)
K  0.0000  0.0000  0.0000
K  0.5000  0.5000  0.0000
Re  0.0000  0.5000  0.2690
Re  0.0000  0.5000  0.7310
Re  0.5000  0.0000  0.2690
Re  0.5000  0.0000  0.7310
Sb  0.0000  0.0000  0.5000
Sb  0.5000  0.5000  0.5000


[2]
## PrCdPt (PBE)

Data for an optimized crystal structure of PrCdPt.

Summary:
Total moment ... 0.0 μB/f.u.
E_tot ... -4.63 eV per atom

Lattice parameters (Å, degrees): 6.8511 6.8511 6.8511 90.00 90.00 90.00
Element x y z (fractional)
Pr  0.0000  0.0000  0.0000
Pr  0.0000  0.5000  0.5000
Pr  0.5000  0.0000  0.5000
Pr  0.5000  0.5000  0.0000
Cd  0.0000  0.0000  0.5000
Cd  0.0000  0.5000  0.0000
Cd  0.5000  0.0000  0.0000
Cd  0.5000  0.5000  0.5000
Pt  0.2500  0.2500  0.7500
Pt  0.2500  0.7500  0.2500
Pt  0.7500  0.2500  0.2500
Pt  0.7500  0.7500  0.7500


[3]
## Re2POs (PBE)

Data for an optimized crystal structure of Re2POs.

Summary:
Total moment ... 0.0 μB/f.u.
E_tot ... -10.34 eV per atom

Lattice parameters (Å, degrees): 2.7994 2.7994 24.8673 90.00 90.00 120.00
Element x y z (fractional)
Re  0.0000  0.0000  0.2443
Re  0.0000  0.0000  0.7557
Re  0.3333  0.6667  0.4223
Re  0.3333  0.6667  0.9110
Re  0.6667  0.3333  0.0890
Re  0.6667  0.3333  0.5777
P  0.0000  0.0000  0.5000
P  0.3333  0.6667  0.1667
P  0.6667  0.3333  0.8333
Os  0.0000  0.0000  0.0000
Os  0.3333  0.6667  0.6667
Os  0.6667  0.3333  0.3333


[4]
## NaTiS3 (PBE)

Data for an optimized crystal structure of NaTiS3.

Summary:
Total moment ... 0.0 μB/f.u.
Energy relative to the elements, uncorrected ... -430 kJ/mol of formula units
E_tot ... -5.21 eV per atom

Lattice parameters (Å, degrees): 4.7431 4.7431 4.7431 90.00 90.00 90.00
Element x y z (fractional)
Na  0.0000  0.0000  0.0000
Ti  0.5000  0.5000  0.5000
S  0.0000  0.5000  0.5000
S  0.5000  0.0000  0.5000
S  0.5000  0.5000  0.0000


[5]
## La2MgZn3Hg4 (PBE)

Data for an optimized crystal structure of La2MgZn3Hg4.

Summary:
Total moment ... 0.0 μB/f.u.
E_tot ... -1.97 eV per atom

Lattice parameters (Å, degrees): 4.4880 4.4880 11.7443 90.00 90.00 90.00
Element x y z (fractional)
La  0.0000  0.5000  0.2350
La  0.5000  0.0000  0.7650
Mg  0.0000  0.0000  0.5000
Zn  0.0000  0.5000  0.8652
Zn  0.5000  0.0000  0.1348
Zn  0.5000  0.5000  0.5000
Hg  0.0000  0.0000  0.0000
Hg  0.0000  0.5000  0.6418
Hg  0.5000  0.0000  0.3582
Hg  0.5000  0.5000  0.0000


[6]
## NdScInGa (PBE)

Data for an optimized crystal structure of NdScInGa.

Summary:
Total moment ... 0.0 μB/f.u.
E_tot ... -4.68 eV per atom

Lattice parameters (Å, degrees): 7.2842 7.2842 7.2842 90.00 90.00 90.00
Element x y z (fractional)
Nd  0.0000  0.0000  0.0000
Nd  0.0000  0.5000  0.5000
Nd  0.5000  0.0000  0.5000
Nd  0.5000  0.5000  0.0000
Sc  0.0000  0.0000  0.5000
Sc  0.0000  0.5000  0.0000
Sc  0.5000  0.0000  0.0000
Sc  0.5000  0.5000  0.5000
In  0.2500  0.2500  0.7500
In  0.2500  0.7500  0.2500
In  0.7500  0.2500  0.2500
In  0.7500  0.7500  0.7500
Ga  0.2500  0.2500  0.2500
Ga  0.2500  0.7500  0.7500
Ga  0.7500  0.2500  0.7500
Ga  0.7500  0.7500  0.2500


[7]
## YPtSe (PBE)

Data for an optimized crystal structure of YPtSe.

Summary:
Total moment ... 0.0 μB/f.u.
Energy relative to the elements, uncorrected ... -282 kJ/mol of formula units
E_tot ... -6.30 eV per atom

Lattice parameters (Å, degrees): 6.5796 6.5796 6.5796 90.00 90.00 90.00
Element x y z (fractional)
Y  0.0000  0.0000  0.0000
Y  0.0000  0.5000  0.5000
Y  0.5000  0.0000  0.5000
Y  0.5000  0.5000  0.0000
Pt  0.2500  0.2500  0.2500
Pt  0.2500  0.7500  0.7500
Pt  0.7500  0.2500  0.7500
Pt  0.7500  0.7500  0.2500
Se  0.0000  0.0000  0.5000
Se  0.0000  0.5000  0.0000
Se  0.5000  0.0000  0.0000
Se  0.5000  0.5000  0.5000


[8]
## LiTaI2N (PBE)

Data for an optimized crystal structure of LiTaI2N.

Summary:
Total moment ... 0.0 μB/f.u.
Energy relative to the elements, uncorrected ... 586 kJ/mol of formula units
E_tot ... -3.82 eV per atom

Lattice parameters (Å, degrees): 5.1893 5.1893 3.5438 90.00 90.00 90.00
Element x y z (fractional)
Li  0.0000  0.0000  0.0000
Ta  0.5000  0.5000  0.5000
I  0.0000  0.5000  0.0000
I  0.5000  0.0000  0.0000
N  0.0000  0.0000  0.5000


[9]
## VFe3Ge (PBE)

Data for an optimized crystal structure of VFe3Ge.

Summary:
Total moment ... 3.9 μB/f.u.
E_tot ... -6.89 eV per atom

Lattice parameters (Å, degrees): 4.3562 4.3562 4.3562 90.00 90.00 90.00
Element x y z (fractional)
V  0.0000  0.0000  0.0000
Fe  0.0000  0.5000  0.5000
Fe  0.5000  0.0000  0.5000
Fe  0.5000  0.5000  0.0000
Ge  0.5000  0.5000  0.5000


[10]
## Dy5Tl3 (PBE)

Data for an optimized crystal structure of Dy5Tl3.

Summary:
Total moment ... 0.0 μB/f.u.
E_tot ... -4.05 eV per atom

Lattice parameters (Å, degrees): 6.7951 13.2202 5.1428 90.00 90.00 90.00
Element x y z (fractional)
Dy  0.0000  0.0000  0.0000
Dy  0.1530  0.2751  0.0000
Dy  0.1541  0.6084  0.5000
Dy  0.3459  0.1084  0.5000
Dy  0.3470  0.7751  0.0000
Dy  0.5000  0.5000  0.0000
Dy  0.6530  0.2249  0.0000
Dy  0.6541  0.8916  0.5000
Dy  0.8459  0.3916  0.5000
Dy  0.8470  0.7249  0.0000
Tl  0.0000  0.5000  0.0000
Tl  0.1107  0.8507  0.5000
Tl  0.3893  0.3507  0.5000
Tl  0.5000  0.0000  0.0000
Tl  0.6107  0.6493  0.5000
Tl  0.8893  0.1493  0.5000


[11]
## Ba2SrRe (PBE)

Data for an optimized crystal structure of Ba2SrRe.

Summary:
Total moment ... 0.0 μB/f.u.
E_tot ... -3.50 eV per atom

Lattice parameters (Å, degrees): 4.0130 4.0130 35.8901 90.00 90.00 120.00
Element x y z (fractional)
Ba  0.0000  0.0000  0.2266
Ba  0.0000  0.0000  0.7734
Ba  0.3333  0.6667  0.4400
Ba  0.3333  0.6667  0.8933
Ba  0.6667  0.3333  0.1067
Ba  0.6667  0.3333  0.5600
Sr  0.0000  0.0000  0.0000
Sr  0.3333  0.6667  0.6667
Sr  0.6667  0.3333  0.3333
Re  0.0000  0.0000  0.5000
Re  0.3333  0.6667  0.1667
Re  0.6667  0.3333  0.8333


[12]
## ScTaBiSe2 (PBE)

Data for an optimized crystal structure of ScTaBiSe2.

Summary:
Total moment ... 0.0 μB/f.u.
Energy relative to the elements, uncorrected ... 38 kJ/mol of formula units
E_tot ... -5.73 eV per atom

Lattice parameters (Å, degrees): 4.9056 4.9056 5.7743 90.00 90.00 90.00
Element x y z (fractional)
Sc  0.0000  0.0000  0.0000
Ta  0.0000  0.0000  0.5000
Bi  0.5000  0.5000  0.0000
Se  0.0000  0.5000  0.5000
Se  0.5000  0.0000  0.5000


[13]
## CsRb2Ge2 (PBE)

Data for an optimized crystal structure of CsRb2Ge2.

Summary:
Total moment ... 0.0 μB/f.u.
E_tot ... -2.42 eV per atom

Lattice parameters (Å, degrees): 5.9525 5.9525 13.1611 90.00 90.00 90.00
Element x y z (fractional)
Cs  0.0000  0.0000  0.0000
Cs  0.5000  0.5000  0.5000
Rb  0.0000  0.5000  0.2500
Rb  0.0000  0.5000  0.7500
Rb  0.5000  0.0000  0.2500
Rb  0.5000  0.0000  0.7500
Ge  0.0000  0.0000  0.4120
Ge  0.0000  0.0000  0.5880
Ge  0.5000  0.5000  0.0880
Ge  0.5000  0.5000  0.9120


[14]
## LaPmGaAg (PBE)

Data for an optimized crystal structure of LaPmGaAg.

Summary:
Total moment ... 0.0 μB/f.u.
E_tot ... -4.30 eV per atom

Lattice parameters (Å, degrees): 7.5227 7.5227 7.5227 90.00 90.00 90.00
Element x y z (fractional)
La  0.0000  0.0000  0.0000
La  0.0000  0.5000  0.5000
La  0.5000  0.0000  0.5000
La  0.5000  0.5000  0.0000
Pm  0.0000  0.0000  0.5000
Pm  0.0000  0.5000  0.0000
Pm  0.5000  0.0000  0.0000
Pm  0.5000  0.5000  0.5000
Ga  0.2500  0.2500  0.2500
Ga  0.2500  0.7500  0.7500
Ga  0.7500  0.2500  0.7500
Ga  0.7500  0.7500  0.2500
Ag  0.2500  0.2500  0.7500
Ag  0.2500  0.7500  0.2500
Ag  0.7500  0.2500  0.2500
Ag  0.7500  0.7500  0.7500


[15]
## NaAc2NpN4 (PBE)

Data for an optimized crystal structure of NaAc2NpN4.

Summary:
Total moment ... 2.0 μB/f.u.
Energy relative to the elements, uncorrected ... -684 kJ/mol of formula units
E_tot ... -7.86 eV per atom

Lattice parameters (Å, degrees): 12.0092 3.7405 6.4318 90.00 104.07 90.00
Element x y z (fractional)
Na  0.0000  0.0000  0.0000
Na  0.5000  0.5000  0.0000
Ac  0.2348  0.5000  0.2423
Ac  0.2652  0.0000  0.7577
Ac  0.7348  0.0000  0.2423
Ac  0.7652  0.5000  0.7577
Np  0.0000  0.5000  0.5000
Np  0.5000  0.0000  0.5000
N  0.1156  0.0000  0.4078
N  0.1179  0.5000  0.7967
N  0.3821  0.0000  0.2033
N  0.3844  0.5000  0.5922
N  0.6156  0.5000  0.4078
N  0.6179  0.0000  0.7967
N  0.8821  0.5000  0.2033
N  0.8844  0.0000  0.5922


[16]
## InBiSbI2 (PBE)

Data for an optimized crystal structure of InBiSbI2.

Summary:
Total moment ... 0.4 μB/f.u.
Energy relative to the elements, uncorrected ... 181 kJ/mol of formula units
E_tot ... -2.39 eV per atom

Lattice parameters (Å, degrees): 5.7455 5.7455 5.9476 90.00 90.00 90.00
Element x y z (fractional)
In  0.0000  0.0000  0.0000
Bi  0.5000  0.5000  0.5000
Sb  0.0000  0.0000  0.5000
I  0.0000  0.5000  0.0000
I  0.5000  0.0000  0.0000


[17]
## Na2AlFeSe (PBE)

Data for an optimized crystal structure of Na2AlFeSe.

Summary:
Total moment ... 0.0 μB/f.u.
Energy relative to the elements, uncorrected ... 204 kJ/mol of formula units
E_tot ... -3.24 eV per atom

Lattice parameters (Å, degrees): 5.4661 5.4661 4.3028 90.00 90.00 90.00
Element x y z (fractional)
Na  0.0000  0.5000  0.0000
Na  0.5000  0.0000  0.0000
Al  0.0000  0.0000  0.5000
Fe  0.5000  0.5000  0.0000
Se  0.5000  0.5000  0.5000


[18]
## Ba2SnGe3Pt4 (PBE)

Data for an optimized crystal structure of Ba2SnGe3Pt4.

Summary:
Total moment ... 0.0 μB/f.u.
E_tot ... -5.34 eV per atom

Lattice parameters (Å, degrees): 4.6162 4.6162 10.4351 90.00 90.00 90.00
Element x y z (fractional)
Ba  0.0000  0.5000  0.2457
Ba  0.5000  0.0000  0.7543
Sn  0.0000  0.0000  0.5000
Ge  0.0000  0.5000  0.8848
Ge  0.5000  0.0000  0.1152
Ge  0.5000  0.5000  0.5000
Pt  0.0000  0.0000  0.0000
Pt  0.0000  0.5000  0.6343
Pt  0.5000  0.0000  0.3657
Pt  0.5000  0.5000  0.0000


[19]
## CrHg2Pb (PBE)

Data for an optimized crystal structure of CrHg2Pb.

Summary:
Total moment ... 3.6 μB/f.u.
E_tot ... -3.16 eV per atom

Lattice parameters (Å, degrees): 14.0541 3.1940 4.7334 90.00 109.61 90.00
Element x y z (fractional)
Cr  0.0000  0.0000  0.0000
Cr  0.5000  0.5000  0.0000
Hg  0.1778  0.5000  0.1784
Hg  0.4918  0.0000  0.4919
Hg  0.6778  0.0000  0.1784
Hg  0.9918  0.5000  0.4919
Pb  0.3076  0.0000  0.8080
Pb  0.8076  0.5000  0.8080


[20]
## Ac9TbSm2 (PBE)

Data for an optimized crystal structure of Ac9TbSm2.

Summary:
Total moment ... 0.0 μB/f.u.
E_tot ... -4.22 eV per atom

Lattice parameters (Å, degrees): 5.5059 5.5059 16.5289 90.00 90.00 90.00
Element x y z (fractional)
Ac  0.0000  0.0000  0.0000
Ac  0.0000  0.0000  0.3330
Ac  0.0000  0.0000  0.6670
Ac  0.0000  0.5000  0.1658
Ac  0.0000  0.5000  0.5000
Ac  0.0000  0.5000  0.8342
Ac  0.5000  0.0000  0.1658
Ac  0.5000  0.0000  0.5000
Ac  0.5000  0.0000  0.8342
Tb  0.5000  0.5000  0.0000
Sm  0.5000  0.5000  0.3329
Sm  0.5000  0.5000  0.6671